This record from Alexandria via LeMat-Bulk describes an optimized crystal structure of LiBe8. The functional is GGA-PBE.

Output
Raw total energy   -31.00 eV/cell
D(E_F)   0.130 states/eV per atom
ΔH_f (0 K)   0.08 eV/atom

abc: 5.074 5.074 5.074
angles: 95.95 95.95 142.43
Fractional coordinates of all 9 atoms:
Li 0.000 0.000 0.000
Be 0.325 0.325 0.651
Be 0.000 0.341 0.341
Be 0.675 0.325 0.000
Be 0.325 0.675 0.000
Be 0.659 0.000 0.659
Be 0.000 0.659 0.659
Be 0.341 0.000 0.341
Be 0.675 0.675 0.349

=====

This record from Alexandria via LeMat-Bulk describes an optimized crystal structure of VAsSe3. The functional is GGA-PBE.

Output
ΔE_f (raw)   3.19 eV per formula unit
Raw total energy   -21.04 eV/cell
D(E_F)   0.897 states/eV per atom
Polymorph energy (0 for the lowest one)   394.4 meV/atom

abc: 4.994 4.994 4.994
angles: 90.00 90.00 90.00
Site moments in Bohr magnetons follow the coordinates.
Fractional coordinates of all 5 atoms:
V 0.500 0.500 0.500  2.90
Se 0.500 0.000 0.000  -0.25
Se 0.000 0.000 0.500  -0.25
Se 0.000 0.500 0.000  -0.25
As 0.000 0.000 0.000  -0.01